# 1
# PBE Na4Np3BeS8, optimized geometry
# V: 357.4 Å³ per cell
# Formation energy without anion corrections: -1152 meV/atom
# Magnetization: 3.53 μB/f.u.
data_Na4Np3BeS8
_chemical_formula_sum 'Na4 Np3 Be1 S8'
_cell_length_a 7.929
_cell_length_b 7.929
_cell_length_c 8.021
_cell_angle_alpha 119.17
_cell_angle_beta 119.17
_cell_angle_gamma 58.77
_symmetry_space_group_name_H-M 'P 1'
_symmetry_Int_Tables_number 1
_symmetry_space_group_name_Hall 'P 1'
loop_
_atom_site_label
_atom_site_type_symbol
_atom_site_fract_x
_atom_site_fract_y
_atom_site_fract_z
_atom_site_occupancy
Na1 Na 0.000 0.000 0.000 1
Na2 Na 0.000 0.500 0.000 1
Na3 Na 0.500 0.000 0.000 1
Na4 Na 0.500 0.500 0.000 1
Np1 Np 0.000 0.000 0.500 1
Np2 Np 0.000 0.500 0.500 1
Np3 Np 0.500 0.000 0.500 1
Be1 Be 0.500 0.500 0.500 1
S1 S 0.241 0.241 0.258 1
S2 S 0.242 0.242 0.732 1
S3 S 0.273 0.709 0.700 1
S4 S 0.291 0.727 0.300 1
S5 S 0.709 0.273 0.700 1
S6 S 0.727 0.291 0.300 1
S7 S 0.758 0.758 0.268 1
S8 S 0.759 0.759 0.742 1

***

# 2
# PBE Na3Np3BeSe8, optimized geometry
# V: 405.0 Å³ per cell
# Formation energy without anion corrections: -976 meV/atom
# Magnetization: 3.19 μB/f.u.
data_Na3Np3BeSe8
_chemical_formula_sum 'Na3 Np3 Be1 Se8'
_cell_length_a 8.212
_cell_length_b 8.212
_cell_length_c 8.479
_cell_angle_alpha 119.37
_cell_angle_beta 119.37
_cell_angle_gamma 59.02
_symmetry_space_group_name_H-M 'P 1'
_symmetry_Int_Tables_number 1
_symmetry_space_group_name_Hall 'P 1'
loop_
_atom_site_label
_atom_site_type_symbol
_atom_site_fract_x
_atom_site_fract_y
_atom_site_fract_z
_atom_site_occupancy
Na1 Na 0.000 0.000 0.000 1
Na2 Na 0.000 0.500 0.000 1
Na3 Na 0.500 0.000 0.000 1
Np1 Np 0.000 0.500 0.500 1
Np2 Np 0.500 0.000 0.500 1
Np3 Np 0.500 0.500 0.500 1
Be1 Be 0.000 0.000 0.500 1
Se1 Se 0.208 0.775 0.697 1
Se2 Se 0.225 0.792 0.303 1
Se3 Se 0.255 0.255 0.264 1
Se4 Se 0.260 0.260 0.737 1
Se5 Se 0.740 0.740 0.263 1
Se6 Se 0.745 0.745 0.736 1
Se7 Se 0.775 0.208 0.697 1
Se8 Se 0.792 0.225 0.303 1